Entry 1:
Density functional theory data (PBE-GGA) for crystalline Gd2AlTe at its relaxed geometry.

abc: 3.740 3.740 7.545
angles: 90.00 90.00 90.00
Atoms (fractional coordinates):
Gd 0.000 0.000 0.245
Gd 0.000 0.000 0.755
Al 0.500 0.500 0.000
Te 0.500 0.500 0.500

Space group ... P4/mmm (123)
E_tot ... -9.48 eV/atom
Energy above the most stable polymorph in this dataset ... 5.3 kJ/mol of atoms

=====

Entry 2:
Density functional theory data (PBE-GGA) for crystalline La3Nd3Ag4 at its relaxed geometry.

abc: 3.932 8.673 8.673
angles: 90.48 90.00 90.00
Atoms (fractional coordinates):
La 0.000 0.000 0.000
La 0.000 0.496 0.836
La 0.000 0.836 0.496
Nd 0.000 0.340 0.340
Nd 0.500 0.167 0.666
Nd 0.500 0.666 0.167
Ag 0.500 0.049 0.293
Ag 0.500 0.293 0.049
Ag 0.500 0.543 0.543
Ag 0.500 0.791 0.791

Space group ... Amm2 (38)
E_tot ... -4.23 eV/atom

=====

Entry 3:
Density functional theory data (PBE-GGA) for crystalline Ta2BrF2 at its relaxed geometry.

abc: 6.414 6.414 6.414
angles: 145.19 145.19 50.05
Atoms (fractional coordinates):
Ta 0.250 0.750 0.500
Ta 0.750 0.250 0.500
Br 0.000 0.000 0.000
F 0.368 0.368 0.000
F 0.632 0.632 0.000

Space group ... I4/mmm (139)
E_tot ... -6.31 eV/atom
Energy above the most stable polymorph in this dataset ... 0.0 kJ/mol of atoms

=====

Entry 4:
Density functional theory data (PBE-GGA) for crystalline LaPm2DyAs4 at its relaxed geometry.

abc: 7.348 4.248 7.352
angles: 90.00 109.43 90.00
Atoms (fractional coordinates):
La 0.000 0.000 0.000
Pm 0.000 0.500 0.500
Pm 0.500 0.000 0.500
Dy 0.500 0.500 0.000
As 0.257 0.000 0.753
As 0.257 0.500 0.252
As 0.743 0.000 0.247
As 0.743 0.500 0.748

Space group ... P2/m (10)
E_tot ... -6.23 eV/atom